BaHfSi2Ge: relaxed, PBE.

Unit cell a=4.895 b=4.895 c=5.648 alpha=90.00 beta=90.00 gamma=90.00
Sites, in units of the cell vectors:
Ba1 0.000 0.000 0.000
Hf1 0.500 0.500 0.000
Si1 0.000 0.500 0.500
Si2 0.500 0.000 0.500
Ge1 0.000 0.000 0.500

Density in g/cm³: 5.45
Calculated volume in Å³/f.u.: 135.4
Raw total energy in eV per formula unit: -22.16
Space-group type: P4/mmm
Spin magnetization in μB per atom: 0.000
Raw formation energy in eV/atom: 1.035

***

Be4TeBr: relaxed, PBE.

Unit cell a=5.042 b=5.042 c=5.042 alpha=60.00 beta=60.00 gamma=60.00
Sites, in units of the cell vectors:
Be1 0.121 0.121 0.121
Be2 0.121 0.121 0.636
Be3 0.121 0.636 0.121
Be4 0.636 0.121 0.121
Te1 0.750 0.750 0.750
Br1 0.500 0.500 0.500

Density in g/cm³: 4.46
Calculated volume in Å³/f.u.: 90.6
Raw total energy in eV per formula unit: -14.97
Space-group type: F-43m
Spin magnetization in μB per atom: 0.000
Raw formation energy in eV/atom: 0.792

***

Ac8HIr6: relaxed, PBE.

Unit cell a=11.051 b=11.051 c=4.604 alpha=90.00 beta=90.00 gamma=120.00
Sites, in units of the cell vectors:
Ac1 0.026 0.680 0.244
Ac2 0.320 0.346 0.244
Ac3 0.333 0.667 0.752
Ac4 0.346 0.026 0.756
Ac5 0.654 0.974 0.244
Ac6 0.667 0.333 0.248
Ac7 0.680 0.654 0.756
Ac8 0.974 0.320 0.756
H1 0.000 0.000 0.000
Ir1 0.156 0.488 0.253
Ir2 0.332 0.844 0.253
Ir3 0.488 0.332 0.747
Ir4 0.512 0.668 0.253
Ir5 0.668 0.156 0.747
Ir6 0.844 0.512 0.747

Density in g/cm³: 10.13
Calculated volume in Å³/f.u.: 487.0
Raw total energy in eV per formula unit: -96.11
Space-group type: P-3
Spin magnetization in μB per atom: 0.000

***

TiNb2HPb: relaxed, PBE.

Unit cell a=4.168 b=4.168 c=4.462 alpha=90.00 beta=90.00 gamma=90.00
Sites, in units of the cell vectors:
Ti1 0.000 0.000 0.000
Nb1 0.000 0.500 0.500
Nb2 0.500 0.000 0.500
H1 0.000 0.000 0.500
Pb1 0.500 0.500 0.000

Density in g/cm³: 9.46
Calculated volume in Å³/f.u.: 77.5
Raw total energy in eV per formula unit: -35.50
Space-group type: P4/mmm
Spin magnetization in μB per atom: 0.000

***

BiO2: relaxed, PBE.

Unit cell a=3.463 b=12.038 c=10.734 alpha=90.00 beta=90.00 gamma=90.00
Sites, in units of the cell vectors:
Bi1 0.000 0.117 0.000
Bi2 0.000 0.378 0.509
Bi3 0.000 0.622 0.009
Bi4 0.000 0.883 0.500
Bi5 0.500 0.172 0.339
Bi6 0.500 0.344 0.868
Bi7 0.500 0.656 0.368
Bi8 0.500 0.828 0.839
O1 0.000 0.065 0.386
O2 0.000 0.288 0.319
O3 0.000 0.307 0.993
O4 0.000 0.364 0.742
O5 0.000 0.636 0.242
O6 0.000 0.693 0.493
O7 0.000 0.712 0.819
O8 0.000 0.935 0.886
O9 0.500 0.129 0.149
O10 0.500 0.165 0.868
O11 0.500 0.252 0.518
O12 0.500 0.491 0.428
O13 0.500 0.509 0.928
O14 0.500 0.748 0.018
O15 0.500 0.835 0.368
O16 0.500 0.871 0.649

Density in g/cm³: 7.15
Calculated volume in Å³/f.u.: 55.9
Raw total energy in eV per formula unit: -16.57
Polymorph energy (0 for the lowest one) in eV/atom: 0.071
Space-group type: Pmc2_1
Spin magnetization in μB per atom: 0.000
Raw formation energy in eV/atom: -0.925

***

MnCrIn2: relaxed, PBE.

Unit cell a=3.020 b=3.020 c=7.887 alpha=90.00 beta=90.00 gamma=90.00
Sites, in units of the cell vectors:
Mn1 0.000 0.000 0.000
Cr1 0.000 0.000 0.500
In1 0.500 0.500 0.246
In2 0.500 0.500 0.754

Density in g/cm³: 7.77
Calculated volume in Å³/f.u.: 71.9
Formation energy from the elements in eV/atom: 0.314
Raw total energy in eV per formula unit: -23.01
Polymorph energy (0 for the lowest one) in eV/atom: 0.079
Space-group type: P4/mmm
Spin magnetization in μB per atom: 1.619

***

Na2TlFe2: relaxed, PBE.

Unit cell a=10.907 b=10.907 c=10.907 alpha=162.67 beta=162.67 gamma=24.61
Sites, in units of the cell vectors:
Na1 0.125 0.125 0.000
Na2 0.875 0.875 0.000
Tl1 0.500 0.500 0.000
Fe1 0.250 0.750 0.500
Fe2 0.750 0.250 0.500

Density in g/cm³: 5.22
Calculated volume in Å³/f.u.: 115.2
Formation energy from the elements in eV/atom: 0.426
Raw total energy in eV per formula unit: -19.80
Polymorph energy (0 for the lowest one) in eV/atom: 0.000
Space-group type: I4/mmm
Spin magnetization in μB per atom: 1.012

***

NaIn3Hg8: relaxed, PBE.

Unit cell a=7.749 b=7.749 c=5.996 alpha=98.10 beta=98.10 gamma=90.69
Sites, in units of the cell vectors:
Na1 0.000 0.000 0.000
In1 0.311 0.741 0.201
In2 0.399 0.399 0.854
In3 0.741 0.311 0.201
Hg1 0.099 0.417 0.169
Hg2 0.150 0.150 0.541
Hg3 0.227 0.753 0.688
Hg4 0.417 0.099 0.169
Hg5 0.575 0.575 0.505
Hg6 0.714 0.714 0.995
Hg7 0.753 0.227 0.688
Hg8 0.855 0.855 0.475

Density in g/cm³: 9.28
Calculated volume in Å³/f.u.: 352.7
Formation energy from the elements in eV/atom: -0.002
Raw total energy in eV per formula unit: -11.97
Space-group type: Cm
Spin magnetization in μB per atom: 0.000

***

Fe2CuHRu: relaxed, PBE.

Unit cell a=3.709 b=3.709 c=3.751 alpha=90.00 beta=90.00 gamma=90.00
Sites, in units of the cell vectors:
Fe1 0.000 0.500 0.000
Fe2 0.500 0.000 0.000
Cu1 0.000 0.000 0.500
H1 0.000 0.000 0.000
Ru1 0.500 0.500 0.500

Density in g/cm³: 8.93
Calculated volume in Å³/f.u.: 51.6
Raw total energy in eV per formula unit: -32.64
Polymorph energy (0 for the lowest one) in eV/atom: 0.068
Space-group type: P4/mmm
Spin magnetization in μB per atom: 1.117

***

SiAgSb2: relaxed, PBE.

Unit cell a=2.971 b=4.530 c=7.273 alpha=90.00 beta=90.00 gamma=90.00
Sites, in units of the cell vectors:
Si1 0.000 0.000 0.000
Ag1 0.000 0.500 0.819
Sb1 0.000 0.000 0.586
Sb2 0.000 0.500 0.245

Density in g/cm³: 6.44
Calculated volume in Å³/f.u.: 97.9
Raw total energy in eV per formula unit: -15.38
Space-group type: Pmm2
Spin magnetization in μB per atom: 0.000
Raw formation energy in eV/atom: 0.284

***

LiTm2Bi: relaxed, PBE.

Unit cell a=4.824 b=4.824 c=4.413 alpha=90.00 beta=90.00 gamma=90.00
Sites, in units of the cell vectors:
Li1 0.000 0.000 0.000
Tm1 0.000 0.500 0.500
Tm2 0.500 0.000 0.500
Bi1 0.500 0.500 0.000

Density in g/cm³: 8.96
Calculated volume in Å³/f.u.: 102.7
Formation energy from the elements in eV/atom: -0.323
Raw total energy in eV per formula unit: -16.03
Polymorph energy (0 for the lowest one) in eV/atom: 0.000
Space-group type: P4/mmm
Spin magnetization in μB per atom: 0.000

***

CeDyErHf: relaxed, PBE.

Unit cell a=5.410 b=5.410 c=5.410 alpha=60.00 beta=60.00 gamma=60.00
Sites, in units of the cell vectors:
Ce1 0.000 0.000 0.000
Dy1 0.500 0.500 0.500
Er1 0.250 0.250 0.250
Hf1 0.750 0.750 0.750

Density in g/cm³: 9.62
Calculated volume in Å³/f.u.: 111.9
Formation energy from the elements in eV/atom: 0.255
Raw total energy in eV per formula unit: -24.03
Space-group type: F-43m
Spin magnetization in μB per atom: 0.109

***

Pb2SBr2F: relaxed, PBE.

Unit cell a=9.113 b=9.113 c=9.113 alpha=131.48 beta=61.47 gamma=144.61
Sites, in units of the cell vectors:
Pb1 0.102 0.201 0.302
Pb2 0.398 0.701 0.099
Pb3 0.602 0.299 0.901
Pb4 0.898 0.799 0.698
S1 0.250 0.750 0.500
S2 0.750 0.250 0.500
Br1 0.188 0.827 0.015
Br2 0.312 0.327 0.638
Br3 0.688 0.673 0.362
Br4 0.812 0.173 0.985
F1 0.250 0.250 0.000
F2 0.750 0.750 0.000

Density in g/cm³: 6.39
Calculated volume in Å³/f.u.: 162.5
Raw total energy in eV per formula unit: -22.81
Space-group type: Ibam
Spin magnetization in μB per atom: 0.001
Raw formation energy in eV/atom: -1.007

***

LiGaNiPb: relaxed, PBE.

Unit cell a=4.536 b=4.536 c=4.536 alpha=60.00 beta=60.00 gamma=60.00
Sites, in units of the cell vectors:
Li1 0.000 0.000 0.000
Ga1 0.750 0.750 0.750
Ni1 0.500 0.500 0.500
Pb1 0.250 0.250 0.250

Density in g/cm³: 8.62
Calculated volume in Å³/f.u.: 66.0
Formation energy from the elements in eV/atom: -0.091
Raw total energy in eV per formula unit: -14.80
Space-group type: F-43m
Spin magnetization in μB per atom: 0.000

***

SrIrRh2: relaxed, PBE.

Unit cell a=4.992 b=4.992 c=2.882 alpha=90.00 beta=90.00 gamma=107.04
Sites, in units of the cell vectors:
Sr1 0.000 0.000 0.000
Ir1 0.500 0.500 0.000
Rh1 0.000 0.500 0.500
Rh2 0.500 0.000 0.500

Density in g/cm³: 11.74
Calculated volume in Å³/f.u.: 68.7
Formation energy from the elements in eV/atom: 0.222
Raw total energy in eV per formula unit: -24.36
Polymorph energy (0 for the lowest one) in eV/atom: 0.357
Space-group type: Cmmm
Spin magnetization in μB per atom: 0.000

***

BaHgTe2N: relaxed, PBE.

Unit cell a=5.940 b=5.940 c=4.390 alpha=90.00 beta=90.00 gamma=90.00
Sites, in units of the cell vectors:
Ba1 0.000 0.000 0.000
Hg1 0.500 0.500 0.500
Te1 0.000 0.500 0.500
Te2 0.500 0.000 0.500
N1 0.500 0.500 0.000

Density in g/cm³: 6.51
Calculated volume in Å³/f.u.: 154.9
Raw total energy in eV per formula unit: -15.87
Polymorph energy (0 for the lowest one) in eV/atom: 0.000
Space-group type: P4/mmm
Spin magnetization in μB per atom: 0.396
Raw formation energy in eV/atom: 0.192

***

V3CrMo: relaxed, PBE.

Unit cell a=5.130 b=5.130 c=6.293 alpha=107.62 beta=107.62 gamma=68.03
Sites, in units of the cell vectors:
V1 0.082 0.082 0.330
V2 0.083 0.580 0.325
V3 0.420 0.917 0.675
V4 0.580 0.083 0.325
V5 0.917 0.420 0.675
V6 0.918 0.918 0.670
Cr1 0.197 0.197 0.005
Cr2 0.803 0.803 0.995
Mo1 0.435 0.435 0.751
Mo2 0.565 0.565 0.249

Density in g/cm³: 6.99
Calculated volume in Å³/f.u.: 71.5
Formation energy from the elements in eV/atom: 0.342
Raw total energy in eV per formula unit: -46.10
Polymorph energy (0 for the lowest one) in eV/atom: 0.000
Space-group type: C2/m
Spin magnetization in μB per atom: 0.000

***

TbPmSn2: relaxed, PBE.

Unit cell a=6.059 b=6.059 c=6.059 alpha=49.17 beta=49.17 gamma=49.17
Sites, in units of the cell vectors:
Tb1 0.000 0.000 0.000
Pm1 0.500 0.500 0.500
Sn1 0.253 0.253 0.253
Sn2 0.747 0.747 0.747

Density in g/cm³: 7.69
Calculated volume in Å³/f.u.: 117.0
Formation energy from the elements in eV/atom: -0.636
Raw total energy in eV per formula unit: -19.93
Space-group type: R-3m
Spin magnetization in μB per atom: 0.000

***

GeIr2Rh2: relaxed, PBE.

Unit cell a=6.348 b=6.348 c=3.924 alpha=90.00 beta=90.00 gamma=90.00
Sites, in units of the cell vectors:
Ge1 0.000 0.000 0.000
Ge2 0.500 0.500 0.000
Ir1 0.140 0.360 0.000
Ir2 0.360 0.860 0.000
Ir3 0.640 0.140 0.000
Ir4 0.860 0.640 0.000
Rh1 0.150 0.650 0.500
Rh2 0.350 0.150 0.500
Rh3 0.650 0.850 0.500
Rh4 0.850 0.350 0.500

Density in g/cm³: 13.92
Calculated volume in Å³/f.u.: 79.1
Formation energy from the elements in eV/atom: 0.137
Raw total energy in eV per formula unit: -36.36
Polymorph energy (0 for the lowest one) in eV/atom: 0.000
Space-group type: P4/mbm
Spin magnetization in μB per atom: 0.000

***

TiV2Tc: relaxed, PBE.

Unit cell a=5.512 b=5.512 c=5.512 alpha=103.14 beta=103.14 gamma=123.05
Sites, in units of the cell vectors:
Ti1 0.000 0.000 0.000
Ti2 0.750 0.250 0.500
V1 0.147 0.625 0.022
V2 0.375 0.397 0.522
V3 0.603 0.125 0.978
V4 0.875 0.853 0.478
Tc1 0.250 0.750 0.500
Tc2 0.500 0.500 0.000

Density in g/cm³: 6.67
Calculated volume in Å³/f.u.: 61.7
Formation energy from the elements in eV/atom: 0.340
Raw total energy in eV per formula unit: -35.14
Space-group type: I-42d
Spin magnetization in μB per atom: 0.000

***

YCuC3: relaxed, PBE.

Unit cell a=4.484 b=4.484 c=4.484 alpha=90.00 beta=90.00 gamma=90.00
Sites, in units of the cell vectors:
Y1 0.000 0.000 0.000
Cu1 0.500 0.500 0.500
C1 0.000 0.000 0.500
C2 0.000 0.500 0.000
C3 0.500 0.000 0.000

Density in g/cm³: 3.47
Calculated volume in Å³/f.u.: 90.2
Formation energy from the elements in eV/atom: 2.972
Raw total energy in eV per formula unit: -23.37
Polymorph energy (0 for the lowest one) in eV/atom: 1.336
Space-group type: Pm-3m
Spin magnetization in μB per atom: 0.000

***

NdLuPb2: relaxed, PBE.

Unit cell a=3.558 b=3.558 c=9.032 alpha=90.00 beta=90.00 gamma=90.00
Sites, in units of the cell vectors:
Nd1 0.000 0.000 0.000
Lu1 0.000 0.000 0.500
Pb1 0.500 0.500 0.262
Pb2 0.500 0.500 0.738

Density in g/cm³: 10.66
Calculated volume in Å³/f.u.: 114.3
Formation energy from the elements in eV/atom: -0.419
Raw total energy in eV per formula unit: -18.38
Space-group type: P4/mmm
Spin magnetization in μB per atom: 0.000

***

NaAl4Pb: relaxed, PBE.

Unit cell a=5.671 b=5.671 c=5.671 alpha=60.00 beta=60.00 gamma=60.00
Sites, in units of the cell vectors:
Na1 0.000 0.000 0.000
Al1 0.374 0.374 0.374
Al2 0.374 0.374 0.877
Al3 0.374 0.877 0.374
Al4 0.877 0.374 0.374
Pb1 0.750 0.750 0.750

Density in g/cm³: 4.35
Calculated volume in Å³/f.u.: 129.0
Formation energy from the elements in eV/atom: 0.105
Raw total energy in eV per formula unit: -19.37
Space-group type: F-43m
Spin magnetization in μB per atom: 0.000

***

LaGa2Tc: relaxed, PBE.

Unit cell a=5.888 b=5.888 c=5.888 alpha=43.09 beta=43.09 gamma=43.09
Sites, in units of the cell vectors:
La1 0.000 0.000 0.000
Ga1 0.209 0.209 0.209
Ga2 0.791 0.791 0.791
Tc1 0.500 0.500 0.500

Density in g/cm³: 7.24
Calculated volume in Å³/f.u.: 86.3
Formation energy from the elements in eV/atom: -0.287
Raw total energy in eV per formula unit: -22.50
Polymorph energy (0 for the lowest one) in eV/atom: 0.000
Space-group type: R-3m
Spin magnetization in μB per atom: 0.000

***

BaLi2Mg: relaxed, PBE.

Unit cell a=3.642 b=5.028 c=7.042 alpha=90.00 beta=99.43 gamma=90.00
Sites, in units of the cell vectors:
Ba1 0.000 0.000 0.000
Li1 0.268 0.500 0.673
Li2 0.732 0.500 0.327
Mg1 0.500 0.000 0.500

Density in g/cm³: 2.29
Calculated volume in Å³/f.u.: 127.2
Formation energy from the elements in eV/atom: 0.092
Raw total energy in eV per formula unit: -6.98
Space-group type: P2/m
Spin magnetization in μB per atom: 0.000

***

Nd6Gd: relaxed, PBE.

Unit cell a=7.143 b=7.143 c=7.143 alpha=109.47 beta=109.47 gamma=109.47
Sites, in units of the cell vectors:
Nd1 0.250 0.500 0.750
Nd2 0.250 0.750 0.500
Nd3 0.500 0.250 0.750
Nd4 0.500 0.750 0.250
Nd5 0.750 0.250 0.500
Nd6 0.750 0.500 0.250
Gd1 0.000 0.000 0.000

Density in g/cm³: 6.05
Calculated volume in Å³/f.u.: 280.5
Formation energy from the elements in eV/atom: 1.189
Raw total energy in eV per formula unit: -34.37
Space-group type: Im-3m
Spin magnetization in μB per atom: 0.953